(1)
# LiSmCu2Ge2 PBE optimized geometry
# - space group = No. 164
# - crystal system = trigonal
# - formation energy from the elements (eV/atom) = -0.486
# - final energy (eV per atom) = -4.496
# - D(E_F) (states/eV/f.u.) = 3.35
data_LiSmCu2Ge2
_chemical_formula_sum 'Li1 Sm1 Cu2 Ge2'
_symmetry_space_group_name_H-M 'P 1'
_symmetry_Int_Tables_number 1
_symmetry_space_group_name_Hall 'P 1'
_cell_length_a 4.186
_cell_length_b 4.186
_cell_length_c 6.738
_cell_angle_alpha 90.00
_cell_angle_beta 90.00
_cell_angle_gamma 120.00
loop_
_atom_site_label
_atom_site_fract_x
_atom_site_fract_y
_atom_site_fract_z
Li1 0.000 0.000 0.000
Sm1 0.000 0.000 0.500
Cu1 0.333 0.667 0.167
Cu2 0.667 0.333 0.833
Ge1 0.333 0.667 0.780
Ge2 0.667 0.333 0.220

(2)
# LiSmCuGe PBE optimized geometry
# - space group = No. 216
# - crystal system = cubic
# - formation energy from the elements (eV/atom) = -0.366
# - final energy (eV per atom) = -4.203
# - D(E_F) (states/eV/f.u.) = 1.81
data_LiSmCuGe
_chemical_formula_sum 'Li1 Sm1 Cu1 Ge1'
_symmetry_space_group_name_H-M 'P 1'
_symmetry_Int_Tables_number 1
_symmetry_space_group_name_Hall 'P 1'
_cell_length_a 4.783
_cell_length_b 4.783
_cell_length_c 4.783
_cell_angle_alpha 60.00
_cell_angle_beta 60.00
_cell_angle_gamma 60.00
loop_
_atom_site_label
_atom_site_fract_x
_atom_site_fract_y
_atom_site_fract_z
Li1 0.000 0.000 0.000
Sm1 0.500 0.500 0.500
Cu1 0.750 0.750 0.750
Ge1 0.250 0.250 0.250

(3)
# Li3Sm2Cu12Ge PBE optimized geometry
# - space group = No. 166
# - crystal system = trigonal
# - formation energy from the elements (eV/atom) = 0.074
# - final energy (eV per atom) = -3.756
# - D(E_F) (states/eV/f.u.) = 11.33
data_Li3Sm2Cu12Ge
_chemical_formula_sum 'Li3 Sm2 Cu12 Ge1'
_symmetry_space_group_name_H-M 'P 1'
_symmetry_Int_Tables_number 1
_symmetry_space_group_name_Hall 'P 1'
_cell_length_a 11.261
_cell_length_b 11.261
_cell_length_c 11.261
_cell_angle_alpha 28.22
_cell_angle_beta 28.22
_cell_angle_gamma 28.22
loop_
_atom_site_label
_atom_site_fract_x
_atom_site_fract_y
_atom_site_fract_z
Li1 0.000 0.500 0.500
Li2 0.500 0.000 0.500
Li3 0.500 0.500 0.000
Sm1 0.142 0.142 0.142
Sm2 0.858 0.858 0.858
Cu1 0.094 0.094 0.653
Cu2 0.094 0.653 0.094
Cu3 0.112 0.603 0.603
Cu4 0.347 0.906 0.906
Cu5 0.397 0.397 0.888
Cu6 0.397 0.888 0.397
Cu7 0.603 0.112 0.603
Cu8 0.603 0.603 0.112
Cu9 0.653 0.094 0.094
Cu10 0.888 0.397 0.397
Cu11 0.906 0.347 0.906
Cu12 0.906 0.906 0.347
Ge1 0.500 0.500 0.500